No. 1
The following is a DFT calculation (GGA-PBEsol) of a relaxed Li5Cu2Ni3O10 crystal. Values from VASP.

```
&SYSTEM
  ibrav = 0, nat = 20, ntyp = 4
/
ATOMIC_SPECIES
Li 6.94 Li.upf
Cu 63.55 Cu.upf
Ni 58.69 Ni.upf
O 16.00 O.upf
ATOMIC_POSITIONS angstrom
Li -0.548 3.492 2.880
Li 0.334 -0.564 5.397
Li 1.138 1.218 3.451
Li 1.942 3.000 1.505
Li 2.824 -1.056 4.022
Cu -1.321 1.639 4.751
Cu 3.596 0.797 2.151
Ni -0.448 2.455 0.013
Ni 1.059 2.175 6.218
Ni 1.216 0.261 0.683
O -1.429 -1.606 6.052
O -0.594 1.222 6.602
O -0.535 0.075 3.783
O 0.316 1.687 1.539
O 0.283 2.747 4.636
O 1.992 -0.311 2.265
O 1.959 0.749 5.363
O 2.811 2.361 3.119
O 2.869 1.214 0.299
O 3.704 4.042 0.849
CELL_PARAMETERS angstrom
4.921 0.080 -0.027
-0.896 4.910 0.025
-1.750 -2.554 6.903
```

Summary:
E_form (uncorrected): -117 kJ/mol of atoms
density of states at the Fermi level: 5.33 states/eV/cell

***

No. 2
The following is a DFT calculation (GGA-PBEsol) of a relaxed SrMgMo2 crystal. Values from VASP.

```
&SYSTEM
  ibrav = 0, nat = 4, ntyp = 3
/
ATOMIC_SPECIES
Mg 24.30 Mg.upf
Mo 95.94 Mo.upf
Sr 87.62 Sr.upf
ATOMIC_POSITIONS angstrom
Mg -0.829 -1.659 5.796
Mo 0.004 -0.031 0.289
Mo -2.317 -0.469 1.256
Sr -2.391 -3.134 3.241
CELL_PARAMETERS angstrom
-2.302 2.010 0.246
-1.622 -4.170 -0.212
0.776 0.021 7.091
```

Summary:
energy of formation from the pure elements: 0.69 eV/atom
density of states at the Fermi level: 4.04 states/eV/cell

***

no.,volume (Å³ per atom)
1,8.4
2,22.9